No. 1
# CaSbPdAu, optimized geometry, DFT GGA-PBE
# DOS(E_F)	1.531	states/eV/cell
# magnetic moment	0.0	μB per formula unit
# formation energy without anion corrections	-593	meV per atom
data_CaSbPdAu
_cell_length_a 4.921
_cell_length_b 4.921
_cell_length_c 4.921
_cell_angle_alpha 60.00
_cell_angle_beta 60.00
_cell_angle_gamma 60.00
_space_group_name_H-M_alt 'P 1'
_space_group_IT_number 1
_space_group_name_Hall 'P 1'
loop_
_atom_site_label
_atom_site_type_symbol
_atom_site_fract_x
_atom_site_fract_y
_atom_site_fract_z
Ca1 Ca 0.750 0.750 0.750
Sb1 Sb 0.250 0.250 0.250
Au1 Au 0.000 0.000 0.000
Pd1 Pd 0.500 0.500 0.500

No. 2
# KMgSc2, optimized geometry, DFT GGA-PBE
# DOS(E_F)	5.533	states/eV/cell
# magnetic moment	0.8	μB per formula unit
# ΔH_f (0 K)	567	meV per atom
data_KMgSc2
_cell_length_a 5.400
_cell_length_b 4.689
_cell_length_c 4.689
_cell_angle_alpha 90.00
_cell_angle_beta 90.00
_cell_angle_gamma 90.00
_space_group_name_H-M_alt 'P 1'
_space_group_IT_number 1
_space_group_name_Hall 'P 1'
loop_
_atom_site_label
_atom_site_type_symbol
_atom_site_fract_x
_atom_site_fract_y
_atom_site_fract_z
Sc1 Sc 0.000 0.000 0.000
Sc2 Sc 0.000 0.500 0.500
K1 K 0.500 0.500 0.000
Mg1 Mg 0.500 0.000 0.500